## K2FeReO6 (PBE with a Hubbard U)

Data for an optimized crystal structure of K2FeReO6.

CIF file:
```
data_K2FeReO6
_symmetry_space_group_name_H-M 'P -3 m 1'
_symmetry_Int_Tables_number 164
_symmetry_space_group_name_Hall '-P 3 2"'
_cell_length_a 6.0142
_cell_length_b 6.0142
_cell_length_c 4.9680
_cell_angle_alpha 90.00
_cell_angle_beta 90.00
_cell_angle_gamma 120.00
loop_
_atom_site_label
_atom_site_type_symbol
_atom_site_fract_x
_atom_site_fract_y
_atom_site_fract_z
_atom_site_occupancy
K1 K 0.3333 0.6667 0.1896 1
Fe1 Fe 0.0000 0.0000 0.0000 1
Re1 Re 0.0000 0.0000 0.5000 1
O1 O 0.1420 0.2840 0.7472 1
```

uncorrected energy	-6.346	eV/atom
V	155.6	Å³ per cell
total magnetic moment	0.10	μB per atom